Computed, not measured: a geometry-optimized Pr2Nd3NpN6 structure at the PBE-GGA level of DFT.

Properties
ρ: 8.6 g/cm3
total DFT energy (no corrections): -8.560 eV per atom
calculated volume: 16.64 A^3/atom
formation energy (no corrections): -1.330 eV per atom

Cell lengths 6.2623, 6.2623, 6.2384 Å; angles 99.65, 99.65, 119.95 degrees
Last column: nearest neighbours and their distance in Å.
Fractional positions:
Pr (0.6663, 0.3337, 0.0000)  6 N 2.59
Pr (0.3337, 0.6663, 0.0000)  6 N 2.59
N (0.7768, 0.7768, 0.2351)  1 Np 2.34, 2 Nd 2.52, 2 Pr 2.59
N (0.3745, 0.0765, 0.2294)  1 Np 2.30, 2 Nd 2.54-2.55
N (0.0765, 0.3745, 0.2294)  1 Np 2.30, 2 Nd 2.54-2.55
N (0.9235, 0.6255, 0.7706)  1 Np 2.30, 2 Nd 2.54-2.55
N (0.2232, 0.2232, 0.7649)  1 Np 2.34, 2 Nd 2.52, 2 Pr 2.59
N (0.6255, 0.9235, 0.7706)  1 Np 2.30, 2 Nd 2.54-2.55
Nd (0.1657, 0.8343, 0.5000)  6 N 2.52-2.81
Nd (0.5000, 0.5000, 0.5000)  6 N 2.54-2.77
Nd (0.8343, 0.1657, 0.5000)  6 N 2.52-2.81
Np (0.0000, 0.0000, 0.0000)  6 N 2.30-2.34

Computed, not measured: a geometry-optimized Ba6NaSr3 structure at the PBE-GGA level of DFT.

Properties
ρ: 3.1 g/cm3
total DFT energy (no corrections): -1.776 eV per atom
energy above the most stable polymorph in this dataset: 0.0 kJ per mole of atoms
calculated volume: 58.67 A^3/atom
energy of formation: 0.014 eV/atom

Cell lengths 6.8968, 12.0458, 14.6335 Å; angles 105.16, 90.00, 90.00 degrees
Last column: nearest neighbours and their distance in Å.
Fractional positions:
Sr (0.7500, 0.2489, 0.0002)  8 Ba 4.23-4.39
Sr (0.7500, 0.4579, 0.6035)  8 Ba 4.20-4.37
Sr (0.2500, 0.7511, 0.9998)  8 Ba 4.23-4.39
Sr (0.7500, 0.6425, 0.1995)  8 Ba 4.19-4.35
Sr (0.2500, 0.5421, 0.3965)  8 Ba 4.20-4.37
Sr (0.2500, 0.3575, 0.8005)  8 Ba 4.19-4.35
Ba (0.7500, 0.7629, 0.4993)  3 Na 4.19-4.24, 4 Sr 4.25-4.37, 1 Ba 4.30
Ba (0.2500, 0.1520, 0.1961)  8 Ba 4.20-4.32
Ba (0.2500, 0.6535, 0.6956)  1 Na 4.02, 5 Sr 4.20-4.30, 2 Ba 4.24
Ba (0.7500, 0.9485, 0.1055)  1 Na 4.01, 3 Ba 4.24-4.26, 4 Sr 4.24-4.29
Ba (0.7500, 0.3465, 0.3044)  1 Na 4.02, 5 Sr 4.20-4.30, 2 Ba 4.24
Ba (0.7500, 0.1443, 0.6895)  3 Na 4.19-4.25, 4 Sr 4.28-4.39, 1 Ba 4.32
Ba (0.2500, 0.4514, 0.0995)  7 Sr 4.19-4.25, 1 Ba 4.20
Ba (0.7500, 0.8480, 0.8039)  8 Ba 4.20-4.32
Ba (0.2500, 0.2371, 0.5007)  3 Na 4.19-4.24, 4 Sr 4.25-4.37, 1 Ba 4.30
Ba (0.2500, 0.8557, 0.3105)  3 Na 4.19-4.25, 4 Sr 4.28-4.39, 1 Ba 4.32
Ba (0.2500, 0.0515, 0.8945)  1 Na 4.01, 3 Ba 4.24-4.26, 4 Sr 4.24-4.29
Ba (0.7500, 0.5486, 0.9005)  7 Sr 4.19-4.25, 1 Ba 4.20
Na (0.2500, 0.9452, 0.6112)  8 Ba 4.01-4.25
Na (0.7500, 0.0548, 0.3888)  8 Ba 4.01-4.25

Computed, not measured: a geometry-optimized Re2Tc3Os2 structure at the PBE-GGA level of DFT.

Properties
ρ: 16.9 g/cm3
total DFT energy (no corrections): -11.147 eV per atom
calculated volume: 14.65 A^3/atom
energy of formation: 0.061 eV/atom

Cell lengths 2.7411, 6.1660, 6.7219 Å; angles 111.61, 90.11, 102.79 degrees
Last column: nearest neighbours and their distance in Å.
Fractional positions:
Os (0.5721, 0.1452, 0.7163)  5 Tc 2.72-2.75, 4 Re 2.73-2.74, 3 Os 2.74-2.77
Os (0.4279, 0.8548, 0.2837)  5 Tc 2.72-2.75, 4 Re 2.73-2.74, 3 Os 2.74-2.77
Tc (0.2840, 0.5670, 0.8570)  6 Tc 2.72-2.77, 3 Os 2.72-2.73, 3 Re 2.74-2.78
Tc (0.0000, 0.0000, 0.0000)  2 Re 2.73, 6 Tc 2.74-2.77, 4 Os 2.74-2.75
Tc (0.7160, 0.4330, 0.1430)  6 Tc 2.72-2.77, 3 Os 2.72-2.73, 3 Re 2.74-2.78
Re (0.8593, 0.7192, 0.5720)  4 Tc 2.73-2.78, 4 Os 2.73-2.74, 4 Re 2.74-2.80
Re (0.1407, 0.2808, 0.4280)  4 Tc 2.73-2.78, 4 Os 2.73-2.74, 4 Re 2.74-2.80

Computed, not measured: a geometry-optimized CoSiGe2Br structure at the PBE-GGA level of DFT.

Properties
ρ: 4.4 g/cm3
total DFT energy (no corrections): -3.416 eV per atom
calculated volume: 23.65 A^3/atom
formation energy (no corrections): 1.271 eV per atom

Cell lengths 5.2555, 4.2815, 5.2555 Å; angles 90.00, 90.00, 90.00 degrees
Last column: nearest neighbours and their distance in Å.
Fractional positions:
Co (0.0000, 0.5000, 0.0000)  2 Br 2.14
Si (0.5000, 0.5000, 0.5000)  8 Ge 3.39, 4 Co 3.72
Ge (0.5000, 0.0000, 0.0000)  2 Br 2.63
Ge (0.0000, 0.0000, 0.5000)  2 Br 2.63
Br (0.0000, 0.0000, 0.0000)  2 Co 2.14

Computed, not measured: a geometry-optimized NiSb2TeSe structure at the PBE-GGA level of DFT.

Properties
ρ: 6.7 g/cm3
total DFT energy (no corrections): -3.793 eV per atom
energy above the most stable polymorph in this dataset: 0.0 kJ per mole of atoms
calculated volume: 25.09 A^3/atom
formation energy (no corrections): 0.338 eV per atom

Cell lengths 4.9786, 4.9786, 5.0607 Å; angles 90.00, 90.00, 90.00 degrees
Last column: nearest neighbours and their distance in Å.
Fractional positions:
Sb (0.5000, 0.0000, 0.0000)  2 Ni 2.49
Sb (0.0000, 0.5000, 0.0000)  2 Ni 2.49
Te (0.0000, 0.0000, 0.5000)  2 Ni 2.53
Se (0.5000, 0.5000, 0.5000)  4 Te 3.52, 8 Sb 3.55
Ni (0.0000, 0.0000, 0.0000)  4 Sb 2.49, 2 Te 2.53

Computed, not measured: a geometry-optimized Tb3Tm2Cd2 structure at the PBE-GGA level of DFT.

Properties
ρ: 8.7 g/cm3
total DFT energy (no corrections): -3.581 eV per atom
energy above the most stable polymorph in this dataset: 9.0 kJ per mole of atoms
calculated volume: 28.28 A^3/atom
energy of formation: -0.058 eV/atom

Cell lengths 5.0683, 3.4596, 11.5695 Å; angles 90.00, 77.35, 90.00 degrees
Last column: nearest neighbours and their distance in Å.
Fractional positions:
Tb (0.8516, 0.0000, 0.2967)  3 Tb 3.35-3.46, 6 Tm 3.37-3.63, 4 Cd 3.55
Tb (0.1484, 0.0000, 0.7033)  3 Tb 3.35-3.46, 6 Tm 3.37-3.63, 4 Cd 3.55
Tb (0.0000, 0.0000, 0.0000)  4 Tb 3.35-3.46, 8 Cd 3.44
Tm (0.7104, 0.5000, 0.5792)  4 Tm 3.10-3.46, 1 Cd 3.19, 4 Tb 3.37
Tm (0.2896, 0.5000, 0.4208)  4 Tm 3.10-3.46, 1 Cd 3.19, 4 Tb 3.37
Cd (0.5690, 0.5000, 0.8620)  3 Cd 3.12-3.46, 1 Tm 3.19, 4 Tb 3.44
Cd (0.4310, 0.5000, 0.1380)  3 Cd 3.12-3.46, 1 Tm 3.19, 4 Tb 3.44

| no. | total magnetic moment (μB per formula unit) |
| --- | --- |
| 1 | 2.11 |
| 2 | 0.00 |
| 3 | 0.00 |
| 4 | 1.06 |
| 5 | 0.00 |
| 6 | 0.01 |